Crystalline Li2CoRh2 at its relaxed geometry. Source: the Alexandria database, functional PBE-GGA.

Unit cell a=4.3988 b=4.3988 c=6.4631 alpha=90.00 beta=90.00 gamma=90.00
Closest atoms and distances in Å follow each position.
Space group I4/mmm (No. 139)
Inequivalent atoms, fractional coordinates:
Li 0.0000 0.0000 0.1374 [4 per cell]  1 Li 1.78
Co 0.0000 0.0000 0.5000 [2 per cell]  2 Li 2.34
Rh 0.0000 0.5000 0.2500 [4 per cell]  4 Li 2.32

Results
* Fermi-level density of states: 9.11 states/eV/cell
* ρ: 7.40 Mg/m³
* E_form: 0.38 eV/atom
* polymorph energy (0 for the lowest one): 210.5 meV/atom
* crystal system: tetragonal